Entry P
PRu2Cl, relaxed, DFT PBE; space group = No. 10
1.0
2.9971 0.0000 0.0000
0.0000 3.4682 0.0000
-1.1546 0.0000 6.4816
P Ru Cl
1 2 1
direct
0.0000 0.0000 0.0000 P
0.3189 0.5000 0.1775 Ru
0.6811 0.5000 0.8225 Ru
0.5000 0.0000 0.5000 Cl

=====

Entry Q
PRu2Cl, relaxed, DFT PBE; space group = No. 166
1.0
1.4841 0.8569 7.4870
-1.4841 0.8569 7.4870
0.0000 -1.7137 7.4870
P Ru Cl
1 2 1
direct
0.0000 0.0000 0.0000 P
0.2588 0.2588 0.2588 Ru
0.7412 0.7412 0.7412 Ru
0.5000 0.5000 0.5000 Cl

=====

Relative energy of each structure, in meV per atom: entry P 55; entry Q 0.

=====

Entry P
PRuSCl2, relaxed, DFT PBE; space group = No. 123
1.0
4.7579 0.0000 0.0000
0.0000 4.7579 0.0000
0.0000 0.0000 4.6496
P Ru S Cl
1 1 1 2
direct
0.0000 0.0000 0.0000 P
0.5000 0.5000 0.5000 Ru
0.0000 0.0000 0.5000 S
0.0000 0.5000 0.0000 Cl
0.5000 0.0000 0.0000 Cl

=====

Entry Q
PRuSCl2, relaxed, DFT PBE; space group = No. 123
1.0
4.7064 0.0000 0.0000
0.0000 4.7064 0.0000
0.0000 0.0000 4.6484
P Ru S Cl
1 1 1 2
direct
0.0000 0.0000 0.0000 P
0.0000 0.0000 0.5000 Ru
0.5000 0.5000 0.0000 S
0.0000 0.5000 0.5000 Cl
0.5000 0.0000 0.5000 Cl

=====

Relative energy of each structure, in meV per atom: entry P 284; entry Q 0.

=====

Entry P
P2RuSCl, relaxed, DFT PBE; space group = No. 123
1.0
4.3874 0.0000 0.0000
0.0000 4.3874 0.0000
0.0000 0.0000 4.5610
P Ru S Cl
2 1 1 1
direct
0.0000 0.5000 0.0000 P
0.5000 0.0000 0.0000 P
0.0000 0.0000 0.5000 Ru
0.5000 0.5000 0.5000 S
0.5000 0.5000 0.0000 Cl

=====

Entry Q
P2RuSCl, relaxed, DFT PBE; space group = No. 123
1.0
4.5748 0.0000 0.0000
0.0000 4.5748 0.0000
0.0000 0.0000 4.6923
P Ru S Cl
2 1 1 1
direct
0.0000 0.5000 0.0000 P
0.5000 0.0000 0.0000 P
0.0000 0.0000 0.0000 Ru
0.5000 0.5000 0.5000 S
0.0000 0.0000 0.5000 Cl

=====

Relative energy of each structure, in meV per atom: entry P 1025; entry Q 0.

=====

Entry P
P2RuSCl, relaxed, DFT PBE; space group = No. 123
1.0
4.6184 0.0000 0.0000
0.0000 4.6184 0.0000
0.0000 0.0000 4.6286
P Ru S Cl
2 1 1 1
direct
0.0000 0.5000 0.0000 P
0.5000 0.0000 0.0000 P
0.0000 0.0000 0.0000 Ru
0.0000 0.0000 0.5000 S
0.5000 0.5000 0.5000 Cl

=====

Entry Q
P2RuSCl, relaxed, DFT PBE; space group = No. 123
1.0
4.5312 0.0000 0.0000
0.0000 4.5312 0.0000
0.0000 0.0000 4.4161
P Ru S Cl
2 1 1 1
direct
0.0000 0.5000 0.0000 P
0.5000 0.0000 0.0000 P
0.0000 0.0000 0.5000 Ru
0.5000 0.5000 0.0000 S
0.5000 0.5000 0.5000 Cl

=====

Relative energy of each structure, in meV per atom: entry P 0; entry Q 757.

=====

Entry P
SiP2RuCl, relaxed, DFT PBE; space group = No. 123
1.0
4.5100 0.0000 0.0000
0.0000 4.5100 0.0000
0.0000 0.0000 5.0478
Si P Ru Cl
1 2 1 1
direct
0.0000 0.0000 0.0000 Si
0.0000 0.5000 0.5000 P
0.5000 0.0000 0.5000 P
0.5000 0.5000 0.5000 Ru
0.5000 0.5000 0.0000 Cl

=====

Entry Q
SiP2RuCl, relaxed, DFT PBE; space group = No. 123
1.0
4.5130 0.0000 0.0000
0.0000 4.5130 0.0000
0.0000 0.0000 4.4090
Si P Ru Cl
1 2 1 1
direct
0.0000 0.0000 0.0000 Si
0.0000 0.5000 0.0000 P
0.5000 0.0000 0.0000 P
0.5000 0.5000 0.5000 Ru
0.0000 0.0000 0.5000 Cl

=====

Relative energy of each structure, in meV per atom: entry P 0; entry Q 340.

=====

Entry P
SiPRuCl2, relaxed, DFT PBE; space group = No. 123
1.0
4.8297 0.0000 0.0000
0.0000 4.8297 0.0000
0.0000 0.0000 4.5451
Si P Ru Cl
1 1 1 2
direct
0.0000 0.0000 0.0000 Si
0.5000 0.5000 0.0000 P
0.5000 0.5000 0.5000 Ru
0.0000 0.5000 0.5000 Cl
0.5000 0.0000 0.5000 Cl

=====

Entry Q
SiPRuCl2, relaxed, DFT PBE; space group = No. 123
1.0
4.5121 0.0000 0.0000
0.0000 4.5121 0.0000
0.0000 0.0000 4.9220
Si P Ru Cl
1 1 1 2
direct
0.0000 0.0000 0.0000 Si
0.0000 0.0000 0.5000 P
0.5000 0.5000 0.5000 Ru
0.0000 0.5000 0.0000 Cl
0.5000 0.0000 0.0000 Cl

=====

Relative energy of each structure, in meV per atom: entry P 0; entry Q 280.